Record 1
Crystalline Pm2TeH2 at its relaxed geometry, computed with PBE.

Values from the calculation:
M_tot	0.00	μB per formula unit
SG	I4/mmm
total DFT energy (no corrections)	-4.75	eV per atom
volume	96	Å³ per cell

extended XYZ file:
```
5
Lattice="-0.687 -2.643 -2.743 3.193 1.121 -1.880 2.189 -3.540 5.594" Properties=species:S:1:pos:R:3 pbc="T T T"
Te 0.000 0.000 0.000
Pm 2.240 -1.994 -1.370
Pm 2.455 -3.068 2.342
H 1.377 -3.472 0.270
H 3.317 -1.590 0.702
```

Record 2
Crystalline Ba3Bi2F12 at its relaxed geometry, computed with PBE.

Values from the calculation:
M_tot	0.00	μB per formula unit
SG	P1
raw formation energy	-3.182	eV/atom
volume	306	Å³ per cell

extended XYZ file:
```
17
Lattice="-0.239 -0.693 -4.339 1.222 -3.399 2.653 -17.211 -3.360 2.972" Properties=species:S:1:pos:R:3 pbc="T T T"
F -0.822 -2.012 -2.294
F -8.084 -2.371 0.412
F -15.140 -4.167 0.279
F -10.174 -3.636 2.955
F -11.491 -5.240 1.104
F -13.894 -6.484 0.603
F -12.743 -3.071 0.751
F -3.758 -3.873 0.379
F -6.011 -3.444 -1.793
F -8.906 -5.007 0.853
F -15.769 -5.681 2.797
F -2.777 -0.867 -0.132
Ba -6.339 -4.604 0.631
Ba -3.366 -2.713 -2.047
Ba -0.137 -0.161 -0.384
Bi -13.385 -5.529 2.598
Bi -10.409 -3.400 0.680
```

Record 3
Crystalline Th2Ir15Rh2 at its relaxed geometry, computed with PBE.

Values from the calculation:
M_tot	0.00	μB per formula unit
SG	R-3m
energy of formation	-4.28	eV per formula unit
volume	317	Å³ per cell

extended XYZ file:
```
19
Lattice="6.861 -0.052 -0.047 0.838 6.809 -0.047 0.838 0.735 6.770" Properties=species:S:1:pos:R:3 pbc="T T T"
Ir 5.113 4.488 0.955
Ir 3.423 6.028 2.328
Ir 0.838 5.023 1.958
Ir 5.113 1.464 4.349
Ir 3.423 3.004 5.721
Ir 2.609 4.792 -0.047
Ir 2.609 0.504 4.765
Ir 3.430 -0.026 -0.023
Ir 0.838 2.522 4.765
Ir 0.419 0.368 3.385
Ir 2.115 4.880 4.349
Ir 5.090 1.965 -0.047
Ir 6.421 2.612 2.328
Ir 0.419 3.405 -0.023
Ir 5.090 0.179 1.958
Th 5.644 4.954 4.414
Th 2.892 2.539 2.262
Rh 7.618 6.686 5.958
Rh 0.918 0.806 0.718
```

Record 4
Crystalline TbPaBi6 at its relaxed geometry, computed with PBE.

Values from the calculation:
M_tot	0.00	μB per formula unit
SG	Amm2
energy of formation	-1.60	eV per formula unit
volume	255	Å³ per cell

extended XYZ file:
```
8
Lattice="-3.841 1.107 1.978 -2.258 -2.731 -2.856 3.306 -10.106 7.050" Properties=species:S:1:pos:R:3 pbc="T T T"
Bi -1.384 -3.142 4.099
Bi -1.812 -9.345 6.741
Bi -2.848 -2.204 0.732
Bi 1.162 -8.010 6.741
Bi -0.297 -7.105 3.402
Bi 0.196 -1.354 1.140
Tb -1.025 -5.621 6.185
Pa -0.649 -4.676 1.357
```